[1]
The following is a DFT calculation (PBE) of a geometry-optimized Ac2Si3Pt5 structure. Values from VASP.

* ΔE_f (raw): -1.044 eV/atom
* symmetry: Ibam (72)
* DOS(E_F): 11.48 states/eV/cell
* V: 19.8 A^3/atom

```
&SYSTEM
  ibrav = 0, nat = 20, ntyp = 3
/
ATOMIC_SPECIES
Ac 227.00 Ac.upf
Pt 195.08 Pt.upf
Si 28.09 Si.upf
ATOMIC_POSITIONS angstrom
Ac 1.762 4.827 3.454
Pt 1.791 3.819 6.741
Pt 4.822 5.922 4.530
Si 4.109 3.963 5.837
Pt 6.530 7.658 8.083
Pt -0.138 -0.021 6.933
Si 5.823 5.689 9.378
Si 1.405 0.000 0.767
Ac 4.630 2.811 11.562
Ac 3.109 0.781 7.668
Ac 3.284 6.856 7.348
Si 2.284 3.674 9.179
Pt 0.714 5.516 8.715
Pt 5.679 2.121 6.301
Pt 4.601 3.819 8.275
Pt 3.524 5.516 10.249
Pt 2.869 2.121 4.767
Si 0.570 1.948 5.638
Pt 1.570 1.715 10.486
Si 4.215 0.000 2.301
CELL_PARAMETERS angstrom
5.620 0.000 3.068
1.798 7.721 3.388
-1.025 -0.084 8.560
```

---

[2]
The following is a DFT calculation (PBE) of a geometry-optimized Sc2MoOs structure. Values from VASP.

* formation enthalpy at 0 K: 169 meV/atom
* symmetry: R-3m (166)
* DOS(E_F): 5.75 states/eV/cell
* V: 17.7 A^3/atom

```
&SYSTEM
  ibrav = 0, nat = 4, ntyp = 3
/
ATOMIC_SPECIES
Sc 44.96 Sc.upf
Mo 95.94 Mo.upf
Os 190.23 Os.upf
ATOMIC_POSITIONS angstrom
Sc 13.141 2.199 1.294
Mo 6.629 1.109 0.653
Sc 0.117 0.020 0.012
Os 19.887 3.328 1.958
CELL_PARAMETERS angstrom
9.171 0.005 0.003
8.673 2.981 0.003
8.673 1.451 2.604
```

---

[3]
The following is a DFT calculation (PBE) of a geometry-optimized Pa2BiO3 structure. Values from VASP.

* ΔE_f (raw): -2.654 eV/atom
* symmetry: C2/m (12)
* DOS(E_F): 10.45 states/eV/cell
* V: 17.9 A^3/atom

```
&SYSTEM
  ibrav = 0, nat = 12, ntyp = 3
/
ATOMIC_SPECIES
O 16.00 O.upf
Pa 231.04 Pa.upf
Bi 208.98 Bi.upf
ATOMIC_POSITIONS angstrom
O 3.763 -3.866 -4.364
Pa 3.209 -3.708 0.025
Bi 4.089 -6.412 -1.942
Pa 2.044 -2.553 -3.627
O 1.344 -3.469 -1.707
Bi 1.165 0.150 -1.660
O 3.910 -2.793 -1.895
Pa -0.355 -2.656 -0.437
O 1.490 -2.395 0.762
Pa 5.608 -3.605 -3.165
O 1.508 -5.287 0.111
O 3.745 -0.975 -3.713
CELL_PARAMETERS angstrom
-2.542 -2.213 -1.983
4.699 2.674 -5.151
3.096 -6.723 3.532
```

---

[4]
The following is a DFT calculation (PBE) of a geometry-optimized Pu3IrRh2 structure. Values from VASP.

* formation enthalpy at 0 K: -156 meV/atom
* symmetry: P4/mmm (123)
* DOS(E_F): 22.35 states/eV/cell
* V: 19.7 A^3/atom
* offset from the most stable computed form: 0.251 eV per atom

```
&SYSTEM
  ibrav = 0, nat = 6, ntyp = 3
/
ATOMIC_SPECIES
Pu 244.00 Pu.upf
Ir 192.22 Ir.upf
Rh 102.91 Rh.upf
ATOMIC_POSITIONS angstrom
Pu -5.169 1.822 4.492
Ir -5.466 0.333 1.975
Pu -2.599 0.916 2.258
Rh -8.206 1.298 4.355
Pu 0.000 0.000 0.000
Rh -2.727 -0.633 -0.406
CELL_PARAMETERS angstrom
-1.879 0.988 -2.564
-1.286 -3.061 -0.237
-7.768 2.738 6.750
```

---

[5]
The following is a DFT calculation (PBE) of a geometry-optimized YMgTi3 structure. Values from VASP.

* formation enthalpy at 0 K: 1029 meV/atom
* symmetry: Pm-3m (221)
* DOS(E_F): 11.85 states/eV/cell
* V: 23.7 A^3/atom

```
&SYSTEM
  ibrav = 0, nat = 5, ntyp = 3
/
ATOMIC_SPECIES
Ti 47.87 Ti.upf
Y 88.91 Y.upf
Mg 24.30 Mg.upf
ATOMIC_POSITIONS angstrom
Ti 1.172 -1.040 1.891
Y -1.125 -3.645 1.883
Ti -0.143 -2.185 -1.112
Ti -2.154 -0.421 1.103
Mg 0.000 0.000 0.000
CELL_PARAMETERS angstrom
-0.286 -4.370 -2.225
2.344 -2.079 3.783
-4.307 -0.841 2.207
```

---

[6]
The following is a DFT calculation (PBE) of a geometry-optimized Er12MgFe6 structure. Values from VASP.

* formation enthalpy at 0 K: -36 meV/atom
* symmetry: Im-3 (204)
* DOS(E_F): 19.48 states/eV/cell
* V: 23.5 A^3/atom

```
&SYSTEM
  ibrav = 0, nat = 19, ntyp = 3
/
ATOMIC_SPECIES
Fe 55.84 Fe.upf
Er 167.26 Er.upf
Mg 24.30 Mg.upf
ATOMIC_POSITIONS angstrom
Fe -0.720 0.008 -4.878
Fe 4.602 -0.383 -1.727
Er 4.683 1.878 -3.158
Er 0.878 -2.041 -5.522
Er 2.350 -5.447 0.494
Mg 0.000 0.000 0.000
Er -1.258 -6.117 -3.155
Fe 3.127 0.559 -5.214
Er 1.905 -4.621 -3.233
Er 1.520 0.382 -3.081
Er 1.076 1.208 -6.807
Er -2.893 -1.554 -4.965
Er 2.548 -2.198 -0.791
Fe 4.146 -4.247 -1.436
Er 6.319 -2.685 -1.348
Fe 0.298 -4.797 -1.099
Er 4.090 -1.843 -3.912
Er -0.665 -2.396 -2.401
Fe -1.177 -3.856 -4.586
CELL_PARAMETERS angstrom
-6.024 -3.017 -4.916
4.911 5.087 -4.423
4.539 -6.309 3.026
```

---

Q: DOS(E_F) of number 3 (Pa2BiO3)?
A: 10.45 states/eV/cell